YMgPt2 | PBE-GGA | relaxed

- space group = F-43m, No. 216
- final energy (eV/atom) = -5.688
- spin magnetization (μB per formula unit) = 0.00

```
YMgPt2
1.0
0.000 3.339 3.339
3.339 0.000 3.339
3.339 3.339 0.000
Y Mg Pt
1 1 2
Direct
0.000 0.000 0.000 Y
0.250 0.250 0.250 Mg
0.500 0.500 0.500 Pt
0.750 0.750 0.750 Pt
```